(1)
Here is an optimized crystal structure of In12Sn5S3 from the Alexandria database. Energies are from PBE.

Cell lengths 14.8867, 14.8867, 14.8867 Å; angles 109.47, 109.47, 109.47 degrees
Fractional coordinates of all 80 atoms:
In: 0.4298 0.6665 0.0682
In: 0.9298 0.5682 0.1665
In: 0.8616 0.5983 0.9318
In: 0.7633 0.4298 0.3616
In: 0.6384 0.5682 0.9017
In: 0.7367 0.1384 0.0702
In: 0.1665 0.0983 0.7367
In: 0.9017 0.0682 0.6384
In: 0.8616 0.2633 0.4298
In: 0.8335 0.9017 0.2633
In: 0.2633 0.8616 0.9298
In: 0.0682 0.1665 0.4298
In: 0.6384 0.0702 0.2367
In: 0.6665 0.2367 0.5983
In: 0.8335 0.9318 0.0702
In: 0.0983 0.9318 0.3616
In: 0.1665 0.0682 0.9298
In: 0.3335 0.7633 0.4017
In: 0.0702 0.6384 0.7367
In: 0.0983 0.1665 0.2367
In: 0.7633 0.3335 0.9017
In: 0.4017 0.1384 0.5682
In: 0.9318 0.8335 0.5702
In: 0.4318 0.3616 0.5983
In: 0.5702 0.3335 0.9318
In: 0.2367 0.6665 0.0983
In: 0.9017 0.8335 0.7633
In: 0.5983 0.7367 0.6665
In: 0.3616 0.4318 0.0983
In: 0.7367 0.5983 0.1665
In: 0.5682 0.9298 0.6665
In: 0.2633 0.4017 0.8335
In: 0.5702 0.2367 0.1384
In: 0.9318 0.0983 0.8616
In: 0.4298 0.7633 0.8616
In: 0.4318 0.0702 0.3335
In: 0.3616 0.9298 0.7633
In: 0.1384 0.7367 0.5702
In: 0.3335 0.5702 0.4318
In: 0.4017 0.2633 0.3335
In: 0.2367 0.5702 0.6384
In: 0.1384 0.4017 0.0682
In: 0.9298 0.3616 0.2633
In: 0.6665 0.4298 0.5682
In: 0.0682 0.9017 0.1384
In: 0.5983 0.8616 0.4318
In: 0.0702 0.4318 0.8335
In: 0.5682 0.6384 0.4017
S: 0.3750 0.7500 0.6250
S: 0.2500 0.1250 0.3750
S: 0.1250 0.2500 0.8750
S: 0.7500 0.8750 0.6250
S: 0.7500 0.3750 0.1250
S: 0.6250 0.3750 0.7500
S: 0.8750 0.1250 0.2500
S: 0.2500 0.6250 0.8750
S: 0.8750 0.7500 0.1250
S: 0.6250 0.2500 0.3750
S: 0.3750 0.6250 0.2500
S: 0.1250 0.8750 0.7500
Sn: 0.5000 0.5000 0.0000
Sn: 0.1250 0.3750 0.2500
Sn: 0.7500 0.6250 0.3750
Sn: 0.5000 0.0000 0.0000
Sn: 0.5000 0.5000 0.5000
Sn: 0.8750 0.6250 0.7500
Sn: 0.0000 0.0000 0.5000
Sn: 0.7500 0.1250 0.8750
Sn: 0.2500 0.3750 0.6250
Sn: 0.5000 0.0000 0.5000
Sn: 0.6250 0.8750 0.2500
Sn: 0.0000 0.5000 0.0000
Sn: 0.6250 0.7500 0.8750
Sn: 0.8750 0.2500 0.6250
Sn: 0.0000 0.5000 0.5000
Sn: 0.1250 0.7500 0.3750
Sn: 0.0000 0.0000 0.0000
Sn: 0.3750 0.2500 0.1250
Sn: 0.3750 0.1250 0.7500
Sn: 0.2500 0.8750 0.1250

Results
Formation energy without anion corrections in eV/atom: 0.1222
Electronic total energy in eV per atom: -3.141
Fermi-level density of states in states/eV per atom: 0.574

=====

(2)
Here is an optimized crystal structure of Rb4U3Te8Au from the Alexandria database. Energies are from PBE.

Cell lengths 8.9356, 10.0429, 9.1516 Å; angles 117.53, 119.22, 90.00 degrees
Fractional coordinates of all 16 atoms:
U: 0.5000 0.5000 0.0000
U: 0.5000 0.5000 0.5000
U: 0.0000 0.5000 0.5000
Te: 0.2234 0.6903 0.9599
Te: 0.2676 0.2981 0.5352
Te: 0.2442 0.7042 0.4883
Te: 0.7766 0.3097 0.0401
Te: 0.7558 0.2958 0.5117
Te: 0.7324 0.7019 0.4648
Te: 0.2635 0.3097 0.0401
Te: 0.7365 0.6903 0.9599
Au: 0.0000 0.5000 0.0000
Rb: 0.5000 0.0000 0.5000
Rb: 0.0000 0.0000 0.5000
Rb: 0.5000 0.0000 0.0000
Rb: 0.0000 0.0000 0.0000

Results
Formation energy without anion corrections in eV/atom: -0.7337
Electronic total energy in eV per atom: -4.868
Fermi-level density of states in states/eV per atom: 0.902

=====

(3)
Here is an optimized crystal structure of TbHo2Ga2 from the Alexandria database. Energies are from PBE.

Cell lengths 3.9918, 5.7192, 11.9586 Å; angles 81.20, 90.00, 90.00 degrees
Fractional coordinates of all 10 atoms:
Ho: 0.2500 0.9175 0.8702
Ho: 0.2500 0.2387 0.5579
Ho: 0.7500 0.7613 0.4421
Ho: 0.7500 0.0825 0.1298
Tb: 0.2500 0.5418 0.2114
Tb: 0.7500 0.4582 0.7886
Ga: 0.2500 0.3587 0.9806
Ga: 0.7500 0.6413 0.0194
Ga: 0.7500 0.2876 0.3656
Ga: 0.2500 0.7124 0.6344

Results
Energy above the most stable polymorph in this dataset in kJ/mol of formula units: 72
ΔE_f in meV/atom: -358
Electronic total energy in eV per atom: -4.326
Fermi-level density of states in states/eV per atom: 0.986

=====

(4)
Here is an optimized crystal structure of Na2SrPb4 from the Alexandria database. Energies are from PBE.

Cell lengths 6.5287, 6.6551, 6.6551 Å; angles 76.08, 60.63, 60.63 degrees
Fractional coordinates of all 7 atoms:
Na: 0.2500 0.5000 0.5000
Na: 0.7500 0.5000 0.5000
Pb: 0.3029 0.0000 0.3942
Pb: 0.6971 0.6058 0.0000
Pb: 0.6971 0.0000 0.6058
Pb: 0.3029 0.3942 0.0000
Sr: 0.0000 0.0000 0.0000

Results
ΔE_f in meV/atom: -265
Electronic total energy in eV per atom: -3.001
Fermi-level density of states in states/eV per atom: 0.481

=====

(5)
Here is an optimized crystal structure of K2AgAu2 from the Alexandria database. Energies are from PBE.

Cell lengths 7.4234, 7.4234, 5.1057 Å; angles 90.00, 90.00, 90.00 degrees
Fractional coordinates of all 10 atoms:
K: 0.3285 0.1715 0.5000
K: 0.6715 0.8285 0.5000
K: 0.1715 0.6715 0.5000
K: 0.8285 0.3285 0.5000
Au: 0.8632 0.6368 0.0000
Au: 0.3632 0.8632 0.0000
Au: 0.1368 0.3632 0.0000
Au: 0.6368 0.1368 0.0000
Ag: 0.0000 0.0000 0.0000
Ag: 0.5000 0.5000 0.0000

Results
Energy above the most stable polymorph in this dataset in kJ/mol of formula units: 54
ΔE_f in meV/atom: -138
Electronic total energy in eV per atom: -2.459
Fermi-level density of states in states/eV per atom: 0.343

=====

(6)
Here is an optimized crystal structure of La2CuTe from the Alexandria database. Energies are from PBE.

Cell lengths 4.3422, 4.3422, 8.0561 Å; angles 74.43, 74.43, 59.97 degrees
Fractional coordinates of all 4 atoms:
La: 0.4936 0.4936 0.5201
La: 0.0064 0.0064 0.9799
Cu: 0.7500 0.7500 0.7500
Te: 0.2500 0.2500 0.2500

Results
Formation energy without anion corrections in eV/atom: -0.7635
Electronic total energy in eV per atom: -5.037
Fermi-level density of states in states/eV per atom: 1.394

=====

(7)
Here is an optimized crystal structure of Tb2Sc3Se6 from the Alexandria database. Energies are from PBE.

Cell lengths 6.8255, 6.8026, 6.8962 Å; angles 80.48, 70.75, 59.89 degrees
Fractional coordinates of all 11 atoms:
Se: 0.4128 0.6734 0.7621
Se: 0.0862 0.3266 0.7621
Se: 0.9138 0.6734 0.2379
Se: 0.2618 0.0000 0.2403
Se: 0.7382 0.0000 0.7597
Se: 0.5873 0.3266 0.2379
Tb: 0.8346 0.3308 0.5000
Tb: 0.1654 0.6692 0.5000
Sc: 0.6666 0.6667 0.0000
Sc: 0.0000 0.0000 0.0000
Sc: 0.3334 0.3333 0.0000

Results
Formation energy without anion corrections in eV/atom: -1.7708
Electronic total energy in eV per atom: -6.240
Fermi-level density of states in states/eV per atom: 0.505

=====

(8)
Here is an optimized crystal structure of CsPuCl6 from the Alexandria database. Energies are from PBE.

Cell lengths 7.2326, 7.2326, 7.8148 Å; angles 62.44, 62.44, 60.00 degrees
Fractional coordinates of all 8 atoms:
Cl: 0.0897 0.5985 0.2222
Cl: 0.0897 0.0897 0.2222
Cl: 0.5985 0.0897 0.2222
Cl: 0.4015 0.9103 0.7778
Cl: 0.9103 0.9103 0.7778
Cl: 0.9103 0.4015 0.7778
Pu: 0.0000 0.0000 0.0000
Cs: 0.5000 0.5000 0.5000

Results
Formation energy without anion corrections in eV/atom: -1.6036
Energy above the most stable polymorph in this dataset in kJ/mol of formula units: 4
Electronic total energy in eV per atom: -4.887
Fermi-level density of states in states/eV per atom: 1.385

=====

(9)
Here is an optimized crystal structure of Rb2TlTc2 from the Alexandria database. Energies are from PBE.

Cell lengths 10.5643, 10.5643, 2.9774 Å; angles 90.00, 90.00, 90.00 degrees
Fractional coordinates of all 10 atoms:
Tl: 0.0000 0.0000 0.0000
Tl: 0.5000 0.5000 0.0000
Rb: 0.2902 0.2098 0.5000
Rb: 0.7902 0.2902 0.5000
Rb: 0.7098 0.7902 0.5000
Rb: 0.2098 0.7098 0.5000
Tc: 0.0705 0.4295 0.0000
Tc: 0.4295 0.9295 0.0000
Tc: 0.5705 0.0705 0.0000
Tc: 0.9295 0.5705 0.0000

Results
Energy above the most stable polymorph in this dataset in kJ/mol of formula units: 0
ΔE_f in meV/atom: 1138
Electronic total energy in eV per atom: -3.869
Fermi-level density of states in states/eV per atom: 1.265

=====

(10)
Here is an optimized crystal structure of NbGaHgO2 from the Alexandria database. Energies are from PBE.

Cell lengths 3.9223, 5.1829, 3.9223 Å; angles 90.00, 90.00, 90.00 degrees
Fractional coordinates of all 5 atoms:
O: 0.0000 0.0000 0.5000
O: 0.5000 0.0000 0.0000
Ga: 0.0000 0.0000 0.0000
Nb: 0.5000 0.5000 0.5000
Hg: 0.0000 0.5000 0.0000

Results
Formation energy without anion corrections in eV/atom: 0.0986
Electronic total energy in eV per atom: -4.564
Fermi-level density of states in states/eV per atom: 0.767

=====

(11)
Here is an optimized crystal structure of SrLiSiHg2 from the Alexandria database. Energies are from PBE.

Cell lengths 4.8240, 5.7301, 4.8240 Å; angles 90.00, 90.00, 90.00 degrees
Fractional coordinates of all 5 atoms:
Hg: 0.0000 0.0000 0.5000
Hg: 0.5000 0.0000 0.0000
Sr: 0.0000 0.5000 0.0000
Si: 0.5000 0.5000 0.5000
Li: 0.0000 0.0000 0.0000

Results
Formation energy without anion corrections in eV/atom: 0.2470
Electronic total energy in eV per atom: -1.677
Fermi-level density of states in states/eV per atom: 0.711

=====

(12)
Here is an optimized crystal structure of Te2MoW3Se2S4 from the Alexandria database. Energies are from PBE.

Cell lengths 3.3079, 3.3079, 29.5265 Å; angles 90.00, 90.00, 120.00 degrees
Fractional coordinates of all 12 atoms:
Te: 0.3333 0.6667 0.8145
Te: 0.3333 0.6667 0.6841
S: 0.6667 0.3333 0.9553
S: 0.6667 0.3333 0.0591
S: 0.6667 0.3333 0.4440
S: 0.6667 0.3333 0.5474
W: 0.6667 0.3333 0.7493
W: 0.6667 0.3333 0.2507
W: 0.3333 0.6667 0.0072
Mo: 0.3333 0.6667 0.4957
Se: 0.3333 0.6667 0.1936
Se: 0.3333 0.6667 0.3079

Results
Formation energy without anion corrections in eV/atom: -0.5324
Energy above the most stable polymorph in this dataset in kJ/mol of formula units: 42
Electronic total energy in eV per atom: -7.153
Fermi-level density of states in states/eV per atom: 0.069

=====

Among the records above, which one has the lowest Fermi-level density of states?
Te2MoW3Se2S4